(1)
# PmTmAg3

An optimized crystal structure of PmTmAg3 (PBE, Alexandria).

Energy of formation from the pure elements (eV per atom): -0.23
Symmetry: P2_1/m
Relative energy among the computed polymorphs (meV/atom): 33
Crystal system: monoclinic

The structure in POSCAR format:
```
PmTmAg3
1.0
-4.5251 -0.8679 1.8506
-0.7937 -7.4116 -5.4168
4.4972 -1.9224 10.0952
Ag Pm Tm
12 4 4
direct
0.2500 0.3861 0.1111
0.2500 0.1594 0.2476
0.7500 0.1139 0.3889
0.7500 0.7554 0.4519
0.7500 0.6139 0.8889
0.7500 0.3406 0.2524
0.2500 0.6594 0.7476
0.2500 0.8861 0.6111
0.7500 0.8406 0.7524
0.2500 0.2446 0.5481
0.2500 0.7446 0.0481
0.7500 0.2554 0.9519
0.7500 0.9644 0.0909
0.2500 0.5356 0.4091
0.2500 0.0356 0.9091
0.7500 0.4644 0.5909
0.7500 0.5985 0.1514
0.2500 0.9015 0.3486
0.7500 0.0985 0.6514
0.2500 0.4015 0.8486
```

=====

(2)
# HOs3Rh

An optimized crystal structure of HOs3Rh (PBE, Alexandria).

Symmetry: Pm-3m
Relative energy among the computed polymorphs (meV/atom): 0
Crystal system: cubic

The structure in POSCAR format:
```
HOs3Rh
1.0
3.9029 0.0000 0.0000
0.0000 3.9029 0.0000
0.0000 0.0000 3.9029
H Os Rh
1 3 1
direct
0.0000 0.0000 0.0000
0.0000 0.5000 0.0000
0.5000 0.0000 0.0000
0.0000 0.0000 0.5000
0.5000 0.5000 0.5000
```

=====

(3)
# NdTmLuTh

An optimized crystal structure of NdTmLuTh (PBE, Alexandria).

Energy of formation from the pure elements (eV per atom): 0.11
Symmetry: F-43m
Crystal system: cubic

The structure in POSCAR format:
```
NdTmLuTh
1.0
-5.3820 1.6512 0.5315
-3.5543 -2.9522 3.2598
-1.8197 2.1765 4.8914
Th Lu Nd Tm
1 1 1 1
direct
0.7500 0.7500 0.7500
0.0000 0.0000 0.0000
0.2500 0.2500 0.2500
0.5000 0.5000 0.5000
```

=====

(4)
# PuZnCuO4

An optimized crystal structure of PuZnCuO4 (PBE, Alexandria).

Formation energy from raw total energies (eV per atom): -1.799
Symmetry: Imma
Crystal system: orthorhombic

The structure in POSCAR format:
```
PuZnCuO4
1.0
-3.3831 5.3224 -0.3816
2.7163 -2.3936 -5.1620
-5.3920 -3.1540 3.8136
O Pu Zn Cu
8 2 2 2
direct
0.2578 0.5156 0.2254
0.7422 0.4844 0.7746
0.2578 0.5156 0.7902
0.2536 0.9663 0.7332
0.7127 0.9663 0.7332
0.7464 0.0337 0.2668
0.2873 0.0337 0.2668
0.7422 0.4844 0.2098
0.5000 0.0000 0.5000
0.5000 0.0000 0.0000
0.8904 0.7809 0.1404
0.1096 0.2191 0.8596
0.0000 0.5000 0.5000
0.5000 0.5000 0.5000
```

=====

(5)
# Ac2InGe3

An optimized crystal structure of Ac2InGe3 (PBE, Alexandria).

Energy of formation from the pure elements (eV per atom): -0.54
Symmetry: Fmmm
Crystal system: orthorhombic

The structure in POSCAR format:
```
Ac2InGe3
1.0
6.4979 0.0027 0.0000
-0.2497 6.4931 0.0000
-3.1241 -3.2479 7.9096
In Ge Ac
2 6 4
direct
0.6659 0.6659 0.3318
0.3341 0.3341 0.6682
0.8364 0.3276 0.1640
0.3276 0.8364 0.1640
0.6724 0.1636 0.8360
0.1636 0.6724 0.8360
0.1615 0.1615 0.3230
0.8385 0.8385 0.6770
0.7567 0.7567 0.0000
0.2500 0.7500 0.5000
0.7500 0.2500 0.5000
0.2433 0.2433 0.0000
```

=====

(6)
# Ca3Sn2H

An optimized crystal structure of Ca3Sn2H (PBE, Alexandria).

Symmetry: Cmcm
Final energy (eV/atom): -3.498
Crystal system: orthorhombic

The structure in POSCAR format:
```
Ca3Sn2H
1.0
3.5926 0.0000 0.0000
0.0000 6.8766 0.0000
-1.7963 0.0000 12.3532
Ca Sn H
6 4 2
direct
0.5917 0.5040 0.1834
0.2101 0.2500 0.4202
0.4083 0.0040 0.8166
0.7899 0.7500 0.5798
0.4083 0.4960 0.8166
0.5917 0.9960 0.1834
0.1804 0.7500 0.3608
0.8196 0.2500 0.6392
0.0039 0.2500 0.0079
0.9961 0.7500 0.9921
0.3490 0.7500 0.6980
0.6510 0.2500 0.3020
```

=====

Number 4 is which compound? PuZnCuO4